The following is a meta-GGA SCAN calculation of a PBEsol-optimized structure of InHgSb2, from Alexandria.

Properties
**E_form (uncorrected)**: 0.165 eV/atom
**Energy relative to the lowest polymorph listed for this composition**: 15.6 meV per atom

POSCAR file:
```
InHgSb2
1.0
1.9552 -2.5387 0.0000
1.9552 2.5387 0.0000
0.0000 0.0000 10.2261
In Hg Sb
1 1 2
Direct
0.0000 0.0000 0.0000 In
0.0000 0.0000 0.5000 Hg
0.5000 0.5000 0.2541 Sb
0.5000 0.5000 0.7459 Sb
```


The following is a meta-GGA SCAN calculation of a PBEsol-optimized structure of NaNi5O6, from Alexandria.

Properties
**E_form (uncorrected)**: -1.342 eV/atom

POSCAR file:
```
NaNi5O6
1.0
2.5548 -4.3838 0.0000
2.5548 4.3838 0.0000
-1.7275 0.0000 4.7756
Na Ni O
1 5 6
Direct
0.0000 0.0000 0.0000 Na
0.1631 0.8369 0.5000 Ni
0.3309 0.6691 0.0000 Ni
0.5000 0.5000 0.5000 Ni
0.6691 0.3309 0.0000 Ni
0.8369 0.1631 0.5000 Ni
0.0967 0.4602 0.2576 O
0.2558 0.2558 0.7170 O
0.4602 0.0967 0.2576 O
0.5398 0.9033 0.7424 O
0.7442 0.7442 0.2830 O
0.9033 0.5398 0.7424 O
```


The following is a meta-GGA SCAN calculation of a PBEsol-optimized structure of BeNi2Pb, from Alexandria.

Properties
**Energy relative to the lowest polymorph listed for this composition**: 106.9 meV per atom
**Formation energy**: 0.34 eV per atom

POSCAR file:
```
BeNi2Pb
1.0
0.0000 2.9588 2.9588
2.9588 0.0000 2.9588
2.9588 2.9588 0.0000
Be Ni Pb
1 2 1
Direct
0.0000 0.0000 0.0000 Be
0.5000 0.5000 0.5000 Ni
0.7500 0.7500 0.7500 Ni
0.2500 0.2500 0.2500 Pb
```


The following is a meta-GGA SCAN calculation of a PBEsol-optimized structure of HfBeCrSn2, from Alexandria.

Properties
**Formation energy**: 0.74 eV per atom

POSCAR file:
```
HfBeCrSn2
1.0
4.8488 0.0000 0.0000
0.0000 4.8488 0.0000
0.0000 0.0000 4.1425
Hf Be Cr Sn
1 1 1 2
Direct
0.0000 0.0000 0.0000 Hf
0.5000 0.5000 0.0000 Be
0.5000 0.5000 0.5000 Cr
0.0000 0.5000 0.5000 Sn
0.5000 0.0000 0.5000 Sn
```


The following is a meta-GGA SCAN calculation of a PBEsol-optimized structure of Ge2MoOs, from Alexandria.

Properties
**Formation energy**: 0.14 eV per atom

POSCAR file:
```
Ge2MoOs
1.0
0.0000 3.0540 3.0540
3.0540 0.0000 3.0540
3.0540 3.0540 0.0000
Ge Mo Os
2 1 1
Direct
0.2500 0.2500 0.2500 Ge
0.7500 0.7500 0.7500 Ge
0.0000 0.0000 0.0000 Mo
0.5000 0.5000 0.5000 Os
```


The following is a meta-GGA SCAN calculation of a PBEsol-optimized structure of CrRh2, from Alexandria.

Properties
**Formation energy**: -0.08 eV per atom

POSCAR file:
```
CrRh2
1.0
4.7929 -1.3224 0.0000
4.7929 1.3224 0.0000
-1.5116 0.0000 6.0098
Cr Rh
2 4
Direct
0.0290 0.0290 0.3084 Cr
0.9710 0.9710 0.6916 Cr
0.3164 0.3164 0.3692 Rh
0.3644 0.3644 0.9701 Rh
0.6356 0.6356 0.0299 Rh
0.6836 0.6836 0.6308 Rh
```


The following is a meta-GGA SCAN calculation of a PBEsol-optimized structure of Mn2PSe, from Alexandria.

Properties
**E_form (uncorrected)**: -0.531 eV/atom
**Energy relative to the lowest polymorph listed for this composition**: 0.0 meV per atom

POSCAR file:
```
Mn2PSe
1.0
1.7496 1.0101 5.6153
-1.7496 1.0101 5.6153
0.0000 -2.0203 5.6153
Mn P Se
2 1 1
Direct
0.2340 0.2340 0.2340 Mn
0.7660 0.7660 0.7660 Mn
0.5000 0.5000 0.5000 P
0.0000 0.0000 0.0000 Se
```


The following is a meta-GGA SCAN calculation of a PBEsol-optimized structure of Ba2LiCl, from Alexandria.

Properties
**E_form (uncorrected)**: -0.912 eV/atom
**Energy relative to the lowest polymorph listed for this composition**: 0.0 meV per atom

POSCAR file:
```
Ba2LiCl
1.0
4.1506 0.0000 0.0000
0.0000 4.3570 0.0000
0.0000 0.0000 9.2562
Ba Li Cl
2 1 1
Direct
0.0000 0.0000 0.2443 Ba
0.0000 0.0000 0.7557 Ba
0.5000 0.5000 0.0000 Li
0.5000 0.0000 0.5000 Cl
```


The following is a meta-GGA SCAN calculation of a PBEsol-optimized structure of AsPSeN2, from Alexandria.

Properties
**E_form (uncorrected)**: 1.377 eV/atom

POSCAR file:
```
AsPSeN2
1.0
3.6111 0.0000 0.0000
0.0000 3.6111 0.0000
0.0000 0.0000 6.1579
As P Se N
1 1 1 2
Direct
0.0000 0.0000 0.0000 As
0.5000 0.5000 0.5000 P
0.0000 0.0000 0.5000 Se
0.0000 0.5000 0.0000 N
0.5000 0.0000 0.0000 N
```


The following is a meta-GGA SCAN calculation of a PBEsol-optimized structure of KCaGe2H, from Alexandria.

POSCAR file:
```
KCaGe2H
1.0
4.5520 0.0000 0.0000
0.0000 4.5520 0.0000
0.0000 0.0000 4.7111
K Ca Ge H
1 1 2 1
Direct
0.0000 0.0000 0.0000 K
0.5000 0.5000 0.0000 Ca
0.0000 0.5000 0.5000 Ge
0.5000 0.0000 0.5000 Ge
0.5000 0.5000 0.5000 H
```


Number 1: electronic total energy -43.85 eV per atom. Number 2: electronic total energy -11.55 eV per atom. Number 3: electronic total energy -27.78 eV per atom. Number 4: electronic total energy -30.71 eV per atom. Number 5: electronic total energy -36.09 eV per atom. Number 6: electronic total energy -28.72 eV per atom. Number 7: electronic total energy -17.28 eV per atom. Number 8: electronic total energy -23.28 eV per atom. Number 9: electronic total energy -12.47 eV per atom. Number 10: electronic total energy -11.85 eV per atom.